# GGA-PBE Tb6Tl2Pd, relaxed
# ΔE to the lowest computed polymorph	0	meV/atom
# total magnetization	0.00	μB/f.u.
# energy of formation from the pure elements	-35.8	kJ/mol of atoms
# calculated total energy	-4.5606	eV per atom
data_Tb6Tl2Pd
_cell_length_a 3.782
_cell_length_b 8.814
_cell_length_c 8.813
_cell_angle_alpha 120.00
_cell_angle_beta 90.00
_cell_angle_gamma 90.00
_space_group_name_H-M_alt 'P 1'
_space_group_IT_number 1
loop_
_space_group_symop_operation_xyz
'x,y,z'
loop_
_atom_site_label
_atom_site_fract_x
_atom_site_fract_y
_atom_site_fract_z
_atom_site_occupancy
Tb1 0.500 0.603 0.000 1
Tb2 0.500 0.397 0.397 1
Tb3 0.500 0.000 0.603 1
Tb4 0.000 0.248 0.000 1
Tb5 0.000 0.753 0.753 1
Tb6 0.000 0.000 0.247 1
Tl1 0.000 0.333 0.667 1
Tl2 0.000 0.667 0.333 1
Pd1 0.500 0.000 0.000 1

# GGA-PBE TbTlPd, relaxed
# ΔE to the lowest computed polymorph	0	meV/atom
# total magnetization	0.00	μB/f.u.
# energy of formation from the pure elements	-63.1	kJ/mol of atoms
# calculated total energy	-4.7176	eV per atom
data_TbTlPd
_cell_length_a 7.896
_cell_length_b 7.896
_cell_length_c 3.783
_cell_angle_alpha 90.00
_cell_angle_beta 90.00
_cell_angle_gamma 120.00
_space_group_name_H-M_alt 'P 1'
_space_group_IT_number 1
loop_
_space_group_symop_operation_xyz
'x,y,z'
loop_
_atom_site_label
_atom_site_fract_x
_atom_site_fract_y
_atom_site_fract_z
_atom_site_occupancy
Tb1 0.598 0.000 0.500 1
Tb2 0.402 0.402 0.500 1
Tb3 0.000 0.598 0.500 1
Tl1 0.268 0.000 0.000 1
Tl2 0.732 0.732 0.000 1
Tl3 0.000 0.268 0.000 1
Pd1 0.000 0.000 0.500 1
Pd2 0.333 0.667 0.000 1
Pd3 0.667 0.333 0.000 1

# GGA-PBE Tb3Tl2Pd8, relaxed
# total magnetization	0.00	μB/f.u.
# energy of formation from the pure elements	-46.3	kJ/mol of atoms
# calculated total energy	-5.1084	eV per atom
data_Tb3Tl2Pd8
_cell_length_a 5.453
_cell_length_b 5.453
_cell_length_c 10.777
_cell_angle_alpha 75.34
_cell_angle_beta 75.34
_cell_angle_gamma 60.00
_space_group_name_H-M_alt 'P 1'
_space_group_IT_number 1
loop_
_space_group_symop_operation_xyz
'x,y,z'
loop_
_atom_site_label
_atom_site_fract_x
_atom_site_fract_y
_atom_site_fract_z
_atom_site_occupancy
Tb1 0.000 0.000 0.000 1
Tb2 0.810 0.810 0.570 1
Tb3 0.190 0.190 0.430 1
Tl1 0.633 0.633 0.101 1
Tl2 0.367 0.367 0.899 1
Pd1 0.720 0.720 0.841 1
Pd2 0.280 0.280 0.159 1
Pd3 0.223 0.729 0.319 1
Pd4 0.729 0.223 0.319 1
Pd5 0.729 0.729 0.319 1
Pd6 0.271 0.777 0.681 1
Pd7 0.777 0.271 0.681 1
Pd8 0.271 0.271 0.681 1

# GGA-PBE TbTlPd4, relaxed
# ΔE to the lowest computed polymorph	80	meV/atom
# total magnetization	0.00	μB/f.u.
# energy of formation from the pure elements	-48.8	kJ/mol of atoms
# calculated total energy	-5.1342	eV per atom
data_TbTlPd4
_cell_length_a 5.015
_cell_length_b 8.956
_cell_length_c 5.036
_cell_angle_alpha 90.00
_cell_angle_beta 102.92
_cell_angle_gamma 90.00
_space_group_name_H-M_alt 'P 1'
_space_group_IT_number 1
loop_
_space_group_symop_operation_xyz
'x,y,z'
loop_
_atom_site_label
_atom_site_fract_x
_atom_site_fract_y
_atom_site_fract_z
_atom_site_occupancy
Tb1 0.000 0.000 0.000 1
Tb2 0.500 0.500 0.000 1
Tl1 0.500 0.000 0.500 1
Tl2 0.000 0.500 0.500 1
Pd1 0.000 0.667 0.000 1
Pd2 0.500 0.167 0.000 1
Pd3 0.500 0.331 0.500 1
Pd4 0.000 0.831 0.500 1
Pd5 0.000 0.333 0.000 1
Pd6 0.500 0.833 0.000 1
Pd7 0.500 0.669 0.500 1
Pd8 0.000 0.169 0.500 1

# GGA-PBE TbYTlPd, relaxed
# total magnetization	0.00	μB/f.u.
# energy of formation from the pure elements	-53.3	kJ/mol of atoms
# calculated total energy	-5.2163	eV per atom
data_TbYTlPd
_cell_length_a 5.192
_cell_length_b 5.192
_cell_length_c 5.192
_cell_angle_alpha 60.00
_cell_angle_beta 60.00
_cell_angle_gamma 60.00
_space_group_name_H-M_alt 'P 1'
_space_group_IT_number 1
loop_
_space_group_symop_operation_xyz
'x,y,z'
loop_
_atom_site_label
_atom_site_fract_x
_atom_site_fract_y
_atom_site_fract_z
_atom_site_occupancy
Y1 0.250 0.250 0.250 1
Tl1 0.500 0.500 0.500 1
Tb1 0.750 0.750 0.750 1
Pd1 0.000 0.000 0.000 1

# GGA-PBE TbTlZnPd, relaxed
# total magnetization	0.00	μB/f.u.
# energy of formation from the pure elements	-41.9	kJ/mol of atoms
# calculated total energy	-3.8000	eV per atom
data_TbTlZnPd
_cell_length_a 4.871
_cell_length_b 4.871
_cell_length_c 4.871
_cell_angle_alpha 60.00
_cell_angle_beta 60.00
_cell_angle_gamma 60.00
_space_group_name_H-M_alt 'P 1'
_space_group_IT_number 1
loop_
_space_group_symop_operation_xyz
'x,y,z'
loop_
_atom_site_label
_atom_site_fract_x
_atom_site_fract_y
_atom_site_fract_z
_atom_site_occupancy
Tl1 0.250 0.250 0.250 1
Tb1 0.750 0.750 0.750 1
Zn1 0.000 0.000 0.000 1
Pd1 0.500 0.500 0.500 1

# GGA-PBE Tb2Tm3Pd4, relaxed
# ΔE to the lowest computed polymorph	0	meV/atom
# total magnetization	0.00	μB/f.u.
# energy of formation from the pure elements	-81.0	kJ/mol of atoms
# calculated total energy	-5.6667	eV per atom
data_Tb2Tm3Pd4
_cell_length_a 7.689
_cell_length_b 7.570
_cell_length_c 7.567
_cell_angle_alpha 90.00
_cell_angle_beta 90.00
_cell_angle_gamma 108.90
_space_group_name_H-M_alt 'P 1'
_space_group_IT_number 1
loop_
_space_group_symop_operation_xyz
'x,y,z'
loop_
_atom_site_label
_atom_site_fract_x
_atom_site_fract_y
_atom_site_fract_z
_atom_site_occupancy
Tb1 0.582 0.195 0.322 1
Tb2 0.918 0.805 0.822 1
Tb3 0.418 0.805 0.678 1
Tb4 0.082 0.195 0.178 1
Tm1 0.000 0.500 0.500 1
Tm2 0.500 0.500 0.000 1
Tm3 0.750 0.242 0.836 1
Tm4 0.750 0.758 0.336 1
Tm5 0.250 0.758 0.164 1
Tm6 0.250 0.242 0.664 1
Pd1 0.862 0.089 0.538 1
Pd2 0.638 0.911 0.038 1
Pd3 0.138 0.911 0.462 1
Pd4 0.362 0.089 0.962 1
Pd5 0.870 0.498 0.133 1
Pd6 0.630 0.502 0.633 1
Pd7 0.130 0.502 0.867 1
Pd8 0.370 0.498 0.367 1

# GGA-PBE Tb3Tm2Pd2, relaxed
# total magnetization	0.00	μB/f.u.
# energy of formation from the pure elements	-49.9	kJ/mol of atoms
# calculated total energy	-5.2628	eV per atom
data_Tb3Tm2Pd2
_cell_length_a 3.702
_cell_length_b 6.435
_cell_length_c 9.036
_cell_angle_alpha 114.94
_cell_angle_beta 90.00
_cell_angle_gamma 106.72
_space_group_name_H-M_alt 'P 1'
_space_group_IT_number 1
loop_
_space_group_symop_operation_xyz
'x,y,z'
loop_
_atom_site_label
_atom_site_fract_x
_atom_site_fract_y
_atom_site_fract_z
_atom_site_occupancy
Tb1 0.500 0.000 0.000 1
Tb2 0.613 0.226 0.440 1
Tb3 0.387 0.774 0.560 1
Tm1 0.841 0.681 0.186 1
Tm2 0.159 0.319 0.814 1
Pd1 0.826 0.652 0.767 1
Pd2 0.174 0.348 0.233 1

Q: Which value of energy of formation from the pure elements does entry 1 give?
A: -35.8 kJ/mol of atoms